Below is a relaxed structure of SmErHg, with properties calculated at the PBE-GGA level. Values from VASP.

```
&SYSTEM
  ibrav = 0, nat = 6, ntyp = 3
/
ATOMIC_SPECIES
Sm 150.36 Sm.upf
Hg 200.59 Hg.upf
Er 167.26 Er.upf
CELL_PARAMETERS angstrom
0.758 -5.125 -0.332
3.461 2.975 2.475
-5.425 1.453 5.837
ATOMIC_POSITIONS crystal
Sm 0.559 0.413 0.972
Sm 0.889 0.577 0.466
Hg 0.440 0.852 0.292
Hg 0.164 0.716 0.880
Er 0.047 0.156 0.203
Er 0.719 0.993 0.713
```

Results
Total magnetic moment: 0.00 μB per cell
E above lowest polymorph: 157 meV per atom
Formation enthalpy at 0 K: -0.1920 eV per atom
Calculated volume: 175.8 Å³ per cell